[1]
Computed, not measured: a relaxed structure of Tm3ZnPd12 at the PBE level of DFT.

Values from the calculation:
Crystal system: tetragonal
Mass density: 11.6 g/cm³
E_form: -753 meV/atom

```
Tm3ZnPd12
1.0
4.067 0.000 0.000
0.000 4.067 0.000
0.000 0.000 16.065
Tm Zn Pd
3 1 12
Direct
0.000 0.000 0.000
0.000 0.000 0.257
0.000 0.000 0.743
0.000 0.000 0.500
0.000 0.500 0.128
0.000 0.500 0.385
0.000 0.500 0.615
0.000 0.500 0.872
0.500 0.000 0.128
0.500 0.000 0.385
0.500 0.000 0.615
0.500 0.000 0.872
0.500 0.500 0.000
0.500 0.500 0.256
0.500 0.500 0.500
0.500 0.500 0.744
```

[2]
Computed, not measured: a relaxed structure of TmZnPd at the PBE level of DFT.

Values from the calculation:
Crystal system: hexagonal
Mass density: 9.8 g/cm³
E_form: -762 meV/atom
Offset from the most stable computed form: 6 meV/atom

```
TmZnPd
1.0
7.251 0.000 0.000
-3.626 6.280 0.000
0.000 0.000 3.811
Tm Zn Pd
3 3 3
Direct
0.000 0.597 0.000
0.403 0.403 0.000
0.597 0.000 0.000
0.000 0.255 0.500
0.255 0.000 0.500
0.745 0.745 0.500
0.000 0.000 0.000
0.333 0.667 0.500
0.667 0.333 0.500
```

[3]
Computed, not measured: a relaxed structure of TmZnPd3 at the PBE level of DFT.

Values from the calculation:
Crystal system: monoclinic
Mass density: 10.7 g/cm³
E_form: -684 meV/atom

```
TmZnPd3
1.0
7.305 -2.300 0.000
7.305 2.300 0.000
-1.871 0.000 5.130
Tm Zn Pd
2 2 6
Direct
0.091 0.091 0.342
0.909 0.909 0.658
0.311 0.311 0.855
0.689 0.689 0.145
0.137 0.137 0.881
0.299 0.299 0.364
0.478 0.478 0.233
0.522 0.522 0.767
0.701 0.701 0.636
0.863 0.863 0.119
```

[4]
Computed, not measured: a relaxed structure of Tm6Zn2Pd at the PBE level of DFT.

Values from the calculation:
Crystal system: orthorhombic
Mass density: 9.4 g/cm³
E_form: -325 meV/atom
Offset from the most stable computed form: 0 meV/atom

```
Tm6Zn2Pd
1.0
-4.718 4.764 4.924
4.718 -4.764 4.924
4.718 4.764 -4.924
Tm Zn Pd
12 4 2
Direct
0.043 0.219 0.825
0.257 0.581 0.324
0.257 0.933 0.676
0.258 0.308 0.566
0.258 0.692 0.951
0.394 0.219 0.175
0.606 0.781 0.825
0.742 0.308 0.049
0.742 0.692 0.434
0.743 0.067 0.324
0.743 0.419 0.676
0.957 0.781 0.175
0.000 0.138 0.138
0.000 0.862 0.862
0.372 0.000 0.372
0.628 0.000 0.628
0.000 0.500 0.500
0.500 0.500 0.000
```

[5]
Computed, not measured: a relaxed structure of Tm2ZnPd3 at the PBE level of DFT.

Values from the calculation:
Crystal system: trigonal
Mass density: 10.7 g/cm³
E_form: -819 meV/atom
Offset from the most stable computed form: 0 meV/atom

```
Tm2ZnPd3
1.0
4.746 0.000 0.000
-2.373 4.110 0.000
0.000 0.000 11.510
Tm Zn Pd
4 2 6
Direct
0.000 0.000 0.000
0.000 0.000 0.500
0.333 0.667 0.184
0.667 0.333 0.816
0.333 0.667 0.665
0.667 0.333 0.335
0.000 0.000 0.254
0.000 0.000 0.746
0.333 0.667 0.428
0.333 0.667 0.910
0.667 0.333 0.090
0.667 0.333 0.572
```

[6]
Computed, not measured: a relaxed structure of Tm3Zn7Pd2 at the PBE level of DFT.

Values from the calculation:
Crystal system: trigonal
Mass density: 9.1 g/cm³
E_form: -448 meV/atom

```
Tm3Zn7Pd2
1.0
2.669 1.541 8.704
-2.669 1.541 8.704
0.000 -3.082 8.704
Tm Zn Pd
3 7 2
Direct
0.000 0.000 0.000
0.144 0.144 0.144
0.856 0.856 0.856
0.079 0.584 0.584
0.416 0.416 0.921
0.416 0.921 0.416
0.500 0.500 0.500
0.584 0.079 0.584
0.584 0.584 0.079
0.921 0.416 0.416
0.334 0.334 0.334
0.666 0.666 0.666
```

[7]
Computed, not measured: a relaxed structure of TmZrPd4 at the PBE level of DFT.

Values from the calculation:
Crystal system: orthorhombic
Mass density: 10.6 g/cm³
E_form: -807 meV/atom
Offset from the most stable computed form: 0 meV/atom

```
TmZrPd4
1.0
2.073 -6.407 0.000
2.073 6.407 0.000
0.000 0.000 8.059
Tm Zr Pd
2 2 8
Direct
0.016 0.984 0.750
0.984 0.016 0.250
0.310 0.690 0.750
0.690 0.310 0.250
0.166 0.834 0.016
0.166 0.834 0.484
0.334 0.666 0.250
0.500 0.500 0.000
0.500 0.500 0.500
0.666 0.334 0.750
0.834 0.166 0.516
0.834 0.166 0.984
```

[8]
Computed, not measured: a relaxed structure of Tm2ZrPd9 at the PBE level of DFT.

Values from the calculation:
Crystal system: tetragonal
Mass density: 11.4 g/cm³
E_form: -891 meV/atom

```
Tm2ZrPd9
1.0
4.070 0.000 0.000
0.000 4.070 0.000
0.000 0.000 12.230
Tm Zr Pd
2 1 9
Direct
0.000 0.000 0.167
0.000 0.000 0.833
0.000 0.000 0.500
0.000 0.500 0.000
0.000 0.500 0.339
0.000 0.500 0.661
0.500 0.000 0.000
0.500 0.000 0.339
0.500 0.000 0.661
0.500 0.500 0.170
0.500 0.500 0.500
0.500 0.500 0.830
```

[9]
Computed, not measured: a relaxed structure of TmZr2Pd6 at the PBE level of DFT.

Values from the calculation:
Crystal system: orthorhombic
Mass density: 9.7 g/cm³
E_form: -616 meV/atom

```
TmZr2Pd6
1.0
-1.639 3.603 7.168
1.639 -3.603 7.168
1.639 3.603 -7.168
Tm Zr Pd
1 2 6
Direct
0.000 0.000 0.000
0.359 0.859 0.500
0.641 0.141 0.500
0.014 0.322 0.692
0.316 0.500 0.816
0.370 0.678 0.692
0.630 0.322 0.308
0.684 0.500 0.184
0.986 0.678 0.308
```

[10]
Computed, not measured: a relaxed structure of TmZr2Pd8 at the PBE level of DFT.

Values from the calculation:
Crystal system: monoclinic
Mass density: 10.5 g/cm³
E_form: -731 meV/atom

```
TmZr2Pd8
1.0
7.273 -2.054 0.000
7.273 2.054 0.000
-2.060 0.000 6.355
Tm Zr Pd
1 2 8
Direct
0.000 0.000 0.000
0.279 0.279 0.334
0.721 0.721 0.666
0.099 0.099 0.455
0.180 0.180 0.909
0.357 0.357 0.806
0.459 0.459 0.281
0.541 0.541 0.719
0.643 0.643 0.194
0.820 0.820 0.091
0.901 0.901 0.545
```

[11]
Computed, not measured: a relaxed structure of Tm4ZrPd15 at the PBE level of DFT.

Values from the calculation:
Crystal system: tetragonal
Mass density: 11.6 g/cm³
E_form: -905 meV/atom

```
Tm4ZrPd15
1.0
4.083 0.000 0.000
0.000 4.083 0.000
0.000 0.000 20.381
Tm Zr Pd
4 1 15
Direct
0.000 0.000 0.101
0.000 0.000 0.301
0.000 0.000 0.699
0.000 0.000 0.899
0.000 0.000 0.500
0.000 0.500 0.000
0.000 0.500 0.202
0.000 0.500 0.404
0.000 0.500 0.596
0.000 0.500 0.798
0.500 0.000 0.000
0.500 0.000 0.202
0.500 0.000 0.404
0.500 0.000 0.596
0.500 0.000 0.798
0.500 0.500 0.101
0.500 0.500 0.303
0.500 0.500 0.500
0.500 0.500 0.697
0.500 0.500 0.899
```

[12]
Computed, not measured: a relaxed structure of TmZrPd4 at the PBE level of DFT.

Values from the calculation:
Crystal system: tetragonal
Mass density: 9.2 g/cm³
E_form: -513 meV/atom
Offset from the most stable computed form: 294 meV/atom

```
TmZrPd4
1.0
3.917 0.000 0.000
0.000 3.917 0.000
0.000 0.000 8.099
Tm Zr Pd
1 1 4
Direct
0.000 0.000 0.000
0.500 0.500 0.500
0.000 0.500 0.261
0.000 0.500 0.739
0.500 0.000 0.261
0.500 0.000 0.739
```

[13]
Computed, not measured: a relaxed structure of TmZrPd5 at the PBE level of DFT.

Values from the calculation:
Crystal system: tetragonal
Mass density: 10.1 g/cm³
E_form: -658 meV/atom

```
TmZrPd5
1.0
4.024 0.000 0.000
0.000 4.024 0.000
0.000 0.000 8.021
Tm Zr Pd
1 1 5
Direct
0.000 0.000 0.000
0.500 0.500 0.500
0.000 0.500 0.268
0.000 0.500 0.732
0.500 0.000 0.268
0.500 0.000 0.732
0.500 0.500 0.000
```

[14]
Computed, not measured: a relaxed structure of TmZr3Pd12 at the PBE level of DFT.

Values from the calculation:
Crystal system: tetragonal
Mass density: 10.8 g/cm³
E_form: -855 meV/atom

```
TmZr3Pd12
1.0
4.045 0.000 0.000
0.000 4.045 0.000
0.000 0.000 16.211
Tm Zr Pd
1 3 12
Direct
0.000 0.000 0.000
0.000 0.000 0.249
0.000 0.000 0.500
0.000 0.000 0.751
0.000 0.500 0.129
0.000 0.500 0.376
0.000 0.500 0.624
0.000 0.500 0.871
0.500 0.000 0.129
0.500 0.000 0.376
0.500 0.000 0.624
0.500 0.000 0.871
0.500 0.500 0.000
0.500 0.500 0.253
0.500 0.500 0.500
0.500 0.500 0.747
```

[15]
Computed, not measured: a relaxed structure of Tm2ZrPd8 at the PBE level of DFT.

Values from the calculation:
Crystal system: monoclinic
Mass density: 11.0 g/cm³
E_form: -761 meV/atom

```
Tm2ZrPd8
1.0
7.316 -2.077 0.000
7.316 2.077 0.000
-2.136 0.000 6.333
Tm Zr Pd
2 1 8
Direct
0.218 0.218 0.165
0.782 0.782 0.835
0.500 0.500 0.500
0.036 0.036 0.223
0.140 0.140 0.677
0.325 0.325 0.592
0.407 0.407 0.058
0.593 0.593 0.942
0.675 0.675 0.408
0.860 0.860 0.323
0.964 0.964 0.777
```

[16]
Computed, not measured: a relaxed structure of U3Pd at the PBE level of DFT.

Values from the calculation:
Crystal system: tetragonal
Mass density: 16.9 g/cm³
E_form: -38 meV/atom
Offset from the most stable computed form: 0 meV/atom

```
U3Pd
1.0
5.127 0.000 0.000
0.000 5.127 0.000
0.000 0.000 3.062
U Pd
3 1
Direct
0.000 0.000 0.000
0.000 0.500 0.500
0.500 0.000 0.500
0.500 0.500 0.000
```

[17]
Computed, not measured: a relaxed structure of UPd4 at the PBE level of DFT.

Values from the calculation:
Crystal system: orthorhombic
Mass density: 12.7 g/cm³
E_form: -456 meV/atom

```
UPd4
1.0
-2.141 2.861 7.085
2.141 -2.861 7.085
2.141 2.861 -7.085
U Pd
2 8
Direct
0.362 0.112 0.250
0.638 0.888 0.750
0.000 0.500 0.500
0.149 0.899 0.250
0.184 0.693 0.491
0.298 0.307 0.991
0.500 0.500 0.000
0.702 0.693 0.009
0.816 0.307 0.509
0.851 0.101 0.750
```

[18]
Computed, not measured: a relaxed structure of U6Pd at the PBE level of DFT.

Values from the calculation:
Crystal system: cubic
Mass density: 14.3 g/cm³
E_form: 1191 meV/atom

```
U6Pd
1.0
-3.546 3.546 3.546
3.546 -3.546 3.546
3.546 3.546 -3.546
U Pd
6 1
Direct
0.250 0.500 0.750
0.250 0.750 0.500
0.500 0.250 0.750
0.500 0.750 0.250
0.750 0.250 0.500
0.750 0.500 0.250
0.000 0.000 0.000
```

[19]
Computed, not measured: a relaxed structure of UPd4 at the PBE level of DFT.

Values from the calculation:
Crystal system: monoclinic
Mass density: 12.7 g/cm³
E_form: -364 meV/atom

```
UPd4
1.0
3.825 -2.427 0.000
3.825 2.427 0.000
-2.005 0.000 4.690
U Pd
1 4
Direct
0.000 0.000 0.000
0.199 0.199 0.598
0.403 0.403 0.207
0.597 0.597 0.793
0.801 0.801 0.402
```

[20]
Computed, not measured: a relaxed structure of UPd4 at the PBE level of DFT.

Values from the calculation:
Crystal system: cubic
Mass density: 9.0 g/cm³
E_form: 932 meV/atom

```
UPd4
1.0
4.961 0.000 0.000
0.000 4.961 0.000
0.000 0.000 4.961
U Pd
1 4
Direct
0.000 0.000 0.000
0.000 0.000 0.500
0.000 0.500 0.000
0.500 0.000 0.000
0.500 0.500 0.500
```

[21]
Computed, not measured: a relaxed structure of U3Pd at the PBE level of DFT.

Values from the calculation:
Crystal system: orthorhombic
Mass density: 17.2 g/cm³
E_form: -24 meV/atom
Offset from the most stable computed form: 13 meV/atom

```
U3Pd
1.0
-1.424 5.262 2.637
1.424 -5.262 2.637
1.424 5.262 -2.637
U Pd
3 1
Direct
0.000 0.000 0.000
0.427 0.197 0.230
0.967 0.197 0.770
0.511 0.011 0.500
```

| no. | density of states at the Fermi level (states/eV/atom) |
| --- | --- |
| 1 | 0.997 |
| 2 | 0.612 |
| 3 | 0.384 |
| 4 | 0.963 |
| 5 | 0.530 |
| 6 | 0.720 |
| 7 | 0.413 |
| 8 | 0.714 |
| 9 | 0.531 |
| 10 | 0.566 |
| 11 | 0.520 |
| 12 | 0.777 |
| 13 | 0.448 |
| 14 | 0.116 |
| 15 | 0.427 |
| 16 | 2.715 |
| 17 | 1.538 |
| 18 | 3.302 |
| 19 | 1.395 |
| 20 | 1.265 |
| 21 | 2.295 |